Entry 1:
Computed, not measured: PuZn2CdAu5 after structural relaxation at the PBE-GGA level of DFT.

* D(E_F): 2.122 states/eV per atom
* ΔH_f (0 K): -3.4 kcal/mol of atoms
* uncorrected energy: -3.95 eV per atom

Cell: 4.8376 4.8376 7.9503 Å, 90.00 90.00 90.00°
Last column: nearest neighbours and their distance in Å.
Element x y z (fractional)
Pu 0.0000 0.0000 0.0000  12 Au 3.09-3.42
Zn 0.5000 0.5000 0.3474  1 Zn 2.43, 4 Au 2.56
Zn 0.5000 0.5000 0.6526  1 Zn 2.43, 4 Au 2.56
Cd 0.0000 0.0000 0.5000  8 Au 3.18
Au 0.0000 0.5000 0.2411  2 Zn 2.56
Au 0.0000 0.5000 0.7589  2 Zn 2.56
Au 0.5000 0.0000 0.2411  2 Zn 2.56
Au 0.5000 0.0000 0.7589  2 Zn 2.56
Au 0.5000 0.5000 0.0000  2 Zn 2.76, 8 Au 3.09



Entry 2:
Computed, not measured: SrSbHPd2 after structural relaxation at the PBE-GGA level of DFT.

* D(E_F): 0.220 states/eV per atom
* uncorrected energy: -4.59 eV per atom

Cell: 6.2237 6.2237 7.5934 Å, 90.00 90.00 140.27°
Last column: nearest neighbours and their distance in Å.
Element x y z (fractional)
Sr 0.0507 0.9493 0.7500  4 H 2.90
Sr 0.9493 0.0507 0.2500  4 H 2.90
Sb 0.2282 0.7718 0.2500  6 Pd 2.69-2.73
Sb 0.7718 0.2282 0.7500  6 Pd 2.69-2.73
H 0.5000 0.5000 0.0000  2 Pd 1.85
H 0.5000 0.5000 0.5000  2 Pd 1.85
Pd 0.3459 0.6541 0.5542  1 H 1.85
Pd 0.3459 0.6541 0.9458  1 H 1.85
Pd 0.6541 0.3459 0.0542  1 H 1.85
Pd 0.6541 0.3459 0.4458  1 H 1.85



Entry 3:
Computed, not measured: Ta2CdSi after structural relaxation at the PBE-GGA level of DFT.

* ΔE_f (raw): 0.06 eV per atom
* D(E_F): 0.567 states/eV per atom
* uncorrected energy: -7.45 eV per atom

Cell: 2.9340 2.9340 8.0402 Å, 90.00 90.00 90.00°
Last column: nearest neighbours and their distance in Å.
Element x y z (fractional)
Ta 0.0000 0.0000 0.2155  4 Si 2.70, 4 Ta 2.93
Ta 0.0000 0.0000 0.7845  4 Si 2.70, 4 Ta 2.93
Cd 0.5000 0.5000 0.5000  4 Cd 2.93, 8 Ta 3.09
Si 0.5000 0.5000 0.0000  8 Ta 2.70, 4 Si 2.93



Entry 4:
Computed, not measured: Cs2SrZnSb2 after structural relaxation at the PBE-GGA level of DFT.

* ΔE_f (raw): -0.55 eV per atom
* uncorrected energy: -2.70 eV per atom

Cell: 10.1748 10.1748 10.1748 Å, 136.41 63.75 135.89°
Last column: nearest neighbours and their distance in Å.
Element x y z (fractional)
Cs 0.1764 0.2320 0.4084  1 Sb 3.67, 2 Zn 4.00
Cs 0.3236 0.7320 0.0556  1 Sb 3.67, 2 Zn 4.00
Cs 0.6764 0.2680 0.9444  1 Sb 3.67, 2 Zn 4.00
Cs 0.8236 0.7680 0.5916  1 Sb 3.67, 2 Zn 4.00
Sr 0.2500 0.7500 0.5000  4 Sb 3.27
Sr 0.7500 0.2500 0.5000  4 Sb 3.27
Zn 0.2500 0.2500 0.0000  4 Sb 2.89
Zn 0.7500 0.7500 0.0000  4 Sb 2.89
Sb 0.0862 0.7916 0.8777  2 Zn 2.89
Sb 0.4138 0.2916 0.7054  2 Zn 2.89
Sb 0.5862 0.7084 0.2946  2 Zn 2.89
Sb 0.9138 0.2084 0.1223  2 Zn 2.89



Entry 5:
Computed, not measured: TmScPd after structural relaxation at the PBE-GGA level of DFT.

* E above lowest polymorph: 5.12 kcal/mol of atoms
* D(E_F): 1.072 states/eV per atom
* ΔH_f (0 K): -9.7 kcal/mol of atoms
* uncorrected energy: -5.75 eV per atom

Cell: 4.6504 4.6504 3.5433 Å, 90.00 90.00 120.00°
Last column: nearest neighbours and their distance in Å.
Element x y z (fractional)
Tm 0.0000 0.0000 0.0000  3 Pd 2.93, 3 Sc 3.14
Sc 0.3333 0.6667 0.5385  3 Pd 2.78
Pd 0.6667 0.3333 0.3312  3 Sc 2.78, 3 Tm 2.93